# 1
Material: Ce2Pu2GePb
Method: DFT, PBE
State: relaxed

Unit cell a=4.9759 b=4.9759 c=6.9598 alpha=90.00 beta=90.00 gamma=120.00
Last column: nearest neighbours and their distance in Å.
Fractional coordinates of all 6 atoms:
Ce 0.3333 0.6667 0.2791  4 Pu 2.98-3.09, 3 Pb 3.26
Ce 0.6667 0.3333 0.7209  4 Pu 2.98-3.09, 3 Pb 3.26
Pu 0.3333 0.6667 0.8354  4 Ce 2.98-3.09, 3 Ge 3.09
Pu 0.6667 0.3333 0.1646  4 Ce 2.98-3.09, 3 Ge 3.09
Ge 0.0000 0.0000 0.0000  6 Pu 3.09
Pb 0.0000 0.0000 0.5000  6 Ce 3.26, 2 Ge 3.48

crystal system = trigonal
formation enthalpy at 0 K = -252 meV/atom

---

# 2
Material: GaGe3Os
Method: DFT, PBE
State: relaxed

Unit cell a=4.7410 b=4.7410 c=4.7410 alpha=90.00 beta=90.00 gamma=90.00
Last column: nearest neighbours and their distance in Å.
Fractional coordinates of all 5 atoms:
Ga 0.0000 0.0000 0.0000  6 Ge 2.37
Ge 0.0000 0.0000 0.5000  2 Ga 2.37
Ge 0.0000 0.5000 0.0000  2 Ga 2.37
Ge 0.5000 0.0000 0.0000  2 Ga 2.37
Os 0.5000 0.5000 0.5000  12 Ge 3.35

crystal system = cubic
formation enthalpy at 0 K = 1486 meV/atom

---

# 3
Material: MgPd2Rh
Method: DFT, PBE
State: relaxed

Unit cell a=3.2946 b=3.2946 c=5.7475 alpha=90.00 beta=90.00 gamma=90.00
Last column: nearest neighbours and their distance in Å.
Fractional coordinates of all 4 atoms:
Mg 0.0000 0.0000 0.0000  8 Pd 2.75, 2 Rh 2.87
Pd 0.5000 0.5000 0.2549  4 Rh 2.72, 4 Mg 2.75, 2 Pd 2.82-2.93
Pd 0.5000 0.5000 0.7451  4 Rh 2.72, 4 Mg 2.75, 2 Pd 2.82-2.93
Rh 0.0000 0.0000 0.5000  8 Pd 2.72, 2 Mg 2.87

crystal system = tetragonal
formation enthalpy at 0 K = -236 meV/atom

---

# 4
Material: Sc2InIr
Method: DFT, PBE
State: relaxed

Unit cell a=4.6922 b=4.6922 c=3.5021 alpha=90.00 beta=90.00 gamma=90.00
Last column: nearest neighbours and their distance in Å.
Fractional coordinates of all 4 atoms:
Sc 0.0000 0.5000 0.0000  4 In 2.93, 4 Ir 2.93
Sc 0.5000 0.0000 0.0000  4 In 2.93, 4 Ir 2.93
In 0.0000 0.0000 0.5000  8 Sc 2.93
Ir 0.5000 0.5000 0.5000  8 Sc 2.93

crystal system = tetragonal
formation enthalpy at 0 K = -633 meV/atom

---

# 5
Material: Li3ClO
Method: DFT, PBE
State: relaxed

Unit cell a=3.6258 b=3.6258 c=11.8490 alpha=90.00 beta=90.00 gamma=120.00
Last column: nearest neighbours and their distance in Å.
Fractional coordinates of all 10 atoms:
Li 0.0000 0.0000 0.2500  3 Cl 2.09
Li 0.0000 0.0000 0.7500  3 Cl 2.09
Li 0.3333 0.6667 0.0441  3 O 2.16, 3 Li 2.34
Li 0.3333 0.6667 0.4559  3 O 2.16, 3 Li 2.34
Li 0.6667 0.3333 0.5441  3 O 2.16, 3 Li 2.34
Li 0.6667 0.3333 0.9559  3 O 2.16, 3 Li 2.34
Cl 0.3333 0.6667 0.2500  3 Li 2.09
Cl 0.6667 0.3333 0.7500  3 Li 2.09
O 0.0000 0.0000 0.0000  6 Li 2.16
O 0.0000 0.0000 0.5000  6 Li 2.16

uncorrected formation energy = -1565.4 meV/atom
crystal system = hexagonal

---

# 6
Material: Fe2NiRh
Method: DFT, PBE
State: relaxed

Unit cell a=8.5970 b=2.6602 c=4.4593 alpha=90.00 beta=101.35 gamma=90.00
Last column: nearest neighbours and their distance in Å.
Fractional coordinates of all 8 atoms:
Fe 0.0000 0.0000 0.0000  3 Ni 2.52-2.57, 4 Rh 2.58-2.62, 5 Fe 2.63-2.66
Fe 0.2476 0.0000 0.7294  3 Rh 2.55-2.59, 4 Ni 2.56-2.64, 5 Fe 2.63-2.66
Fe 0.5000 0.5000 0.0000  3 Ni 2.52-2.57, 4 Rh 2.58-2.62, 5 Fe 2.63-2.66
Fe 0.7476 0.5000 0.7294  3 Rh 2.55-2.59, 4 Ni 2.56-2.64, 5 Fe 2.63-2.66
Ni 0.2448 0.5000 0.2181  7 Fe 2.52-2.64, 3 Rh 2.62-2.68, 2 Ni 2.66
Ni 0.7448 0.0000 0.2181  7 Fe 2.52-2.64, 3 Rh 2.62-2.68, 2 Ni 2.66
Rh 0.4945 0.0000 0.4925  7 Fe 2.55-2.62, 3 Ni 2.62-2.68, 2 Rh 2.66
Rh 0.9945 0.5000 0.4925  7 Fe 2.55-2.62, 3 Ni 2.62-2.68, 2 Rh 2.66

crystal system = monoclinic
formation enthalpy at 0 K = 8 meV/atom

---

# 7
Material: SrZr2Ru
Method: DFT, PBE
State: relaxed

Unit cell a=5.4601 b=5.4601 c=17.5463 alpha=90.00 beta=90.00 gamma=90.00
Last column: nearest neighbours and their distance in Å.
Fractional coordinates of all 16 atoms:
Sr 0.0000 0.2500 0.3750  8 Zr 3.76, 4 Ru 3.86
Sr 0.0000 0.7500 0.6250  8 Zr 3.76, 4 Ru 3.86
Sr 0.5000 0.2500 0.1250  8 Zr 3.76, 4 Ru 3.86
Sr 0.5000 0.7500 0.8750  8 Zr 3.76, 4 Ru 3.86
Zr 0.0000 0.0000 0.0000  2 Ru 2.58, 2 Zr 2.73
Zr 0.0000 0.5000 0.0000  2 Ru 2.58, 2 Zr 2.73
Zr 0.2500 0.2500 0.7500  2 Ru 2.58, 2 Zr 2.73
Zr 0.2500 0.7500 0.2500  2 Ru 2.58, 2 Zr 2.73
Zr 0.5000 0.0000 0.5000  2 Ru 2.58, 2 Zr 2.73
Zr 0.5000 0.5000 0.5000  2 Ru 2.58, 2 Zr 2.73
Zr 0.7500 0.2500 0.7500  2 Ru 2.58, 2 Zr 2.73
Zr 0.7500 0.7500 0.2500  2 Ru 2.58, 2 Zr 2.73
Ru 0.0000 0.2500 0.8750  4 Zr 2.58
Ru 0.0000 0.7500 0.1250  4 Zr 2.58
Ru 0.5000 0.2500 0.6250  4 Zr 2.58
Ru 0.5000 0.7500 0.3750  4 Zr 2.58

crystal system = tetragonal
formation enthalpy at 0 K = 809 meV/atom

---

# 8
Material: VSnPt2
Method: DFT, PBE
State: relaxed

Unit cell a=3.2805 b=3.2805 c=23.5342 alpha=90.00 beta=90.00 gamma=120.00
Last column: nearest neighbours and their distance in Å.
Fractional coordinates of all 12 atoms:
V 0.0000 0.0000 0.0000  6 Pt 2.52
V 0.3333 0.6667 0.6667  6 Pt 2.52
V 0.6667 0.3333 0.3333  6 Pt 2.52
Sn 0.0000 0.0000 0.5000  6 Pt 2.95, 6 Sn 3.28
Sn 0.3333 0.6667 0.1667  6 Pt 2.95, 6 Sn 3.28
Sn 0.6667 0.3333 0.8333  6 Pt 2.95, 6 Sn 3.28
Pt 0.0000 0.0000 0.2627  3 V 2.52
Pt 0.0000 0.0000 0.7373  3 V 2.52
Pt 0.3333 0.6667 0.4040  3 V 2.52
Pt 0.3333 0.6667 0.9293  3 V 2.52
Pt 0.6667 0.3333 0.0707  3 V 2.52
Pt 0.6667 0.3333 0.5960  3 V 2.52

crystal system = trigonal
formation enthalpy at 0 K = -125 meV/atom